Compound: BeTe
Source: Alexandria via LeMat-Bulk
Functional: GGA-PBE
Structure: relaxed

Cell and atoms, written as CIF:
```
data_BeTe
_space_group_name_H-M_alt 'P 1'
_space_group_IT_number 1
_space_group_name_Hall 'P 1'
_cell_length_a 3.966
_cell_length_b 3.966
_cell_length_c 24.782
_cell_angle_alpha 90.00
_cell_angle_beta 90.00
_cell_angle_gamma 120.00
loop_
_atom_site_label
_atom_site_fract_x
_atom_site_fract_y
_atom_site_fract_z
Te1 0.333 0.667 0.234
Te2 0.000 0.000 0.095
Te3 0.667 0.333 0.569
Te4 0.000 0.000 0.905
Te5 0.667 0.333 0.766
Te6 0.333 0.667 0.431
Be1 0.000 0.000 0.197
Be2 0.667 0.333 0.868
Be3 0.000 0.000 0.803
Be4 0.667 0.333 0.468
Be5 0.333 0.667 0.532
Be6 0.333 0.667 0.132
```

Energy above the most stable polymorph in this dataset, eV/atom: 0.079
Uncorrected formation energy, meV/atom: -286.1

***

Compound: Be7Te
Source: Alexandria via LeMat-Bulk
Functional: GGA-PBE
Structure: relaxed

Cell and atoms, written as CIF:
```
data_Be7Te
_space_group_name_H-M_alt 'P 1'
_space_group_IT_number 1
_space_group_name_Hall 'P 1'
_cell_length_a 5.039
_cell_length_b 5.039
_cell_length_c 5.039
_cell_angle_alpha 60.00
_cell_angle_beta 60.00
_cell_angle_gamma 60.00
loop_
_atom_site_label
_atom_site_fract_x
_atom_site_fract_y
_atom_site_fract_z
Te1 0.000 0.000 0.000
Be1 0.000 0.500 0.000
Be2 0.000 0.000 0.500
Be3 0.500 0.000 0.000
Be4 0.500 0.000 0.500
Be5 0.000 0.500 0.500
Be6 0.500 0.500 0.000
Be7 0.500 0.500 0.500
```

Uncorrected formation energy, meV/atom: 617.2